Entry 1:
## CdReP2 (GGA-PBE)

Data for CdReP2 after structural relaxation.

## Properties
The formation energy comes out at -0.011 eV/atom. As for the space-group type: R-3m.

Cell lengths 9.8184, 9.8184, 9.8184 Å; angles 17.85, 17.85, 17.85 degrees
Last column: nearest neighbours and their distance in Å.
Fractional coordinates of all 4 atoms:
1 Cd 0.0000 0.0000 0.0000  6 Cd 3.05
2 Re 0.5000 0.5000 0.5000  6 P 2.43
3 P 0.2247 0.2247 0.2247  3 Re 2.43
4 P 0.7753 0.7753 0.7753  3 Re 2.43

***

Entry 2:
## Pm3AlFe (GGA-PBE)

Data for Pm3AlFe after structural relaxation.

## Properties
The formation energy comes out at 0.102 eV/atom. As for the space-group type: Pm-3m.

Cell lengths 5.1730, 5.1730, 5.1730 Å; angles 90.00, 90.00, 90.00 degrees
Last column: nearest neighbours and their distance in Å.
Fractional coordinates of all 5 atoms:
1 Pm 0.0000 0.0000 0.5000  2 Fe 2.59
2 Pm 0.0000 0.5000 0.0000  2 Fe 2.59
3 Pm 0.5000 0.0000 0.0000  2 Fe 2.59
4 Al 0.5000 0.5000 0.5000  12 Pm 3.66
5 Fe 0.0000 0.0000 0.0000  6 Pm 2.59

***

Entry 3:
## Pm2GaSb3Pd4 (GGA-PBE)

Data for Pm2GaSb3Pd4 after structural relaxation.

## Properties
The calculation puts the uncorrected formation energy at -0.835 eV per atom. As for the space-group type: P-4m2.

Cell lengths 4.4085, 4.4085, 11.1247 Å; angles 90.00, 90.00, 90.00 degrees
Last column: nearest neighbours and their distance in Å.
Fractional coordinates of all 10 atoms:
1 Pm 0.0000 0.5000 0.2443  6 Sb 3.34-3.60, 8 Pd 3.42-3.50, 2 Ga 3.60
2 Pm 0.5000 0.0000 0.7557  6 Sb 3.34-3.60, 8 Pd 3.42-3.50, 2 Ga 3.60
3 Ga 0.0000 0.0000 0.5000  4 Pd 2.64
4 Sb 0.0000 0.5000 0.8623  5 Pd 2.59-2.68
5 Sb 0.5000 0.0000 0.1377  5 Pd 2.59-2.68
6 Sb 0.5000 0.5000 0.5000  4 Pd 2.64
7 Pd 0.0000 0.0000 0.0000  4 Sb 2.68
8 Pd 0.0000 0.5000 0.6298  3 Sb 2.59-2.64, 2 Ga 2.64
9 Pd 0.5000 0.0000 0.3702  3 Sb 2.59-2.64, 2 Ga 2.64
10 Pd 0.5000 0.5000 0.0000  4 Sb 2.68

***

Entry 4:
## Rb2TmBr4 (GGA-PBE)

Data for Rb2TmBr4 after structural relaxation.

## Properties
The calculation puts the uncorrected formation energy at -1.579 eV per atom. As for the space-group type: I4/mmm.

Cell lengths 9.6273, 9.6273, 9.6273 Å; angles 146.37, 146.37, 48.30 degrees
Last column: nearest neighbours and their distance in Å.
Fractional coordinates of all 7 atoms:
1 Rb 0.1411 0.1411 0.0000  5 Br 3.48-3.73
2 Rb 0.8589 0.8589 0.0000  5 Br 3.48-3.73
3 Tm 0.5000 0.5000 0.0000  6 Br 2.79-2.82
4 Br 0.0000 0.5000 0.5000  2 Tm 2.79
5 Br 0.3392 0.3392 0.0000  1 Tm 2.82
6 Br 0.5000 0.0000 0.5000  2 Tm 2.79
7 Br 0.6608 0.6608 0.0000  1 Tm 2.82

***

Entry 5:
## Er3In3CuRu2 (GGA-PBE)

Data for Er3In3CuRu2 after structural relaxation.

## Properties
The formation energy comes out at -0.402 eV/atom. As for the space-group type: P-62m.

Cell lengths 7.5675, 7.5675, 3.7876 Å; angles 90.00, 90.00, 120.00 degrees
Last column: nearest neighbours and their distance in Å.
Fractional coordinates of all 9 atoms:
1 Er 0.0000 0.4095 0.0000  4 Ru 2.97, 1 Cu 3.10, 6 In 3.14-3.31
2 Er 0.4095 0.0000 0.0000  4 Ru 2.97, 1 Cu 3.10, 6 In 3.14-3.31
3 Er 0.5905 0.5905 0.0000  4 Ru 2.97, 1 Cu 3.10, 6 In 3.14-3.31
4 In 0.0000 0.7405 0.5000  2 Cu 2.73, 2 Ru 2.84
5 In 0.2595 0.2595 0.5000  2 Cu 2.73, 2 Ru 2.84
6 In 0.7405 0.0000 0.5000  2 Cu 2.73, 2 Ru 2.84
7 Cu 0.0000 0.0000 0.0000  6 In 2.73
8 Ru 0.3333 0.6667 0.5000  3 In 2.84, 6 Er 2.97
9 Ru 0.6667 0.3333 0.5000  3 In 2.84, 6 Er 2.97

***

Entry 6:
## K2YCd (GGA-PBE)

Data for K2YCd after structural relaxation.

## Properties
The formation energy comes out at 0.458 eV/atom. As for the space-group type: I-42d.

Cell lengths 8.0646, 8.0646, 8.0646 Å; angles 99.06, 99.06, 133.25 degrees
Last column: nearest neighbours and their distance in Å.
Fractional coordinates of all 8 atoms:
1 K 0.0653 0.1250 0.4403  2 Cd 3.39, 2 K 3.44
2 K 0.3750 0.9347 0.0597  2 Cd 3.39, 2 K 3.44
3 K 0.6847 0.6250 0.5597  2 Cd 3.39, 2 K 3.44
4 K 0.8750 0.3153 0.9403  2 Cd 3.39, 2 K 3.44
5 Y 0.2500 0.7500 0.5000  2 Cd 3.20
6 Y 0.5000 0.5000 0.0000  2 Cd 3.20
7 Cd 0.0000 0.0000 0.0000  2 Y 3.20, 4 K 3.39
8 Cd 0.7500 0.2500 0.5000  2 Y 3.20, 4 K 3.39

***

Entry 7:
## LaCeTe (GGA-PBE)

Data for LaCeTe after structural relaxation.

## Properties
The calculation puts the uncorrected formation energy at -0.490 eV per atom. The value obtained for the energy above the most stable polymorph in this dataset is 0.4827 eV per atom. As for the space-group type: P3m1.

Cell lengths 5.3250, 5.3250, 4.0240 Å; angles 90.00, 90.00, 120.00 degrees
Last column: nearest neighbours and their distance in Å.
Fractional coordinates of all 3 atoms:
1 La 0.0000 0.0000 0.0000  3 Te 3.44, 6 Ce 3.67-3.68
2 Ce 0.3333 0.6667 0.5019  3 Te 3.11
3 Te 0.6667 0.3333 0.3847  3 Ce 3.11, 3 La 3.44

***

Entry 8:
## PrY3Pd (GGA-PBE)

Data for PrY3Pd after structural relaxation.

## Properties
The value obtained for the energy above the most stable polymorph in this dataset is 0.1238 eV per atom. The formation energy comes out at -0.188 eV/atom. As for the space-group type: Pm-3m.

Cell lengths 5.5027, 5.5027, 5.5027 Å; angles 90.00, 90.00, 90.00 degrees
Last column: nearest neighbours and their distance in Å.
Fractional coordinates of all 5 atoms:
1 Pr 0.0000 0.0000 0.0000  12 Y 3.89
2 Y 0.0000 0.5000 0.5000  2 Pd 2.75
3 Y 0.5000 0.0000 0.5000  2 Pd 2.75
4 Y 0.5000 0.5000 0.0000  2 Pd 2.75
5 Pd 0.5000 0.5000 0.5000  6 Y 2.75

***

Entry 9:
## CrAg2W (GGA-PBE)

Data for CrAg2W after structural relaxation.

## Properties
The value obtained for the energy above the most stable polymorph in this dataset is 0.0000 eV per atom. The formation energy comes out at 0.384 eV/atom. As for the space-group type: Cmm2.

Cell lengths 2.7578, 2.7578, 9.1444 Å; angles 90.00, 90.00, 111.93 degrees
Last column: nearest neighbours and their distance in Å.
Fractional coordinates of all 4 atoms:
1 Cr 0.0000 0.0000 0.0000  2 W 2.45
2 Ag 0.0000 0.0000 0.5214  8 Ag 2.76-3.09, 2 W 2.92
3 Ag 0.5000 0.5000 0.2527  8 Ag 2.76-3.09, 2 Cr 2.78
4 W 0.5000 0.5000 0.7926  2 Cr 2.45

***

Entry 10:
## BTeRu (GGA-PBE)

Data for BTeRu after structural relaxation.

## Properties
The calculation puts the uncorrected formation energy at 0.279 eV per atom. As for the space-group type: C2/m.

Cell lengths 5.0304, 5.0304, 6.2836 Å; angles 109.17, 109.17, 43.92 degrees
Last column: nearest neighbours and their distance in Å.
Fractional coordinates of all 6 atoms:
1 B 0.1364 0.1364 0.3470  3 Ru 2.07-2.08
2 B 0.8636 0.8636 0.6530  3 Ru 2.07-2.08
3 Te 0.3942 0.3942 0.1718  4 Ru 2.84-2.86, 3 B 2.85-2.98
4 Te 0.6058 0.6058 0.8282  4 Ru 2.84-2.86, 3 B 2.85-2.98
5 Ru 0.2811 0.2811 0.6854  3 B 2.07-2.08
6 Ru 0.7189 0.7189 0.3146  3 B 2.07-2.08

***

Entry 11:
## Nb2Tc2Bi (GGA-PBE)

Data for Nb2Tc2Bi after structural relaxation.

## Properties
The formation energy comes out at 0.242 eV/atom. As for the space-group type: P4/mbm.

Cell lengths 7.7266, 7.7266, 3.1508 Å; angles 90.00, 90.00, 90.00 degrees
Last column: nearest neighbours and their distance in Å.
Fractional coordinates of all 10 atoms:
1 Nb 0.1497 0.3503 0.0000  6 Tc 2.71-2.83
2 Nb 0.3503 0.8503 0.0000  6 Tc 2.71-2.83
3 Nb 0.6497 0.1497 0.0000  6 Tc 2.71-2.83
4 Nb 0.8503 0.6497 0.0000  6 Tc 2.71-2.83
5 Tc 0.1346 0.6346 0.5000  6 Nb 2.71-2.83, 1 Tc 2.94, 2 Bi 3.01
6 Tc 0.3654 0.1346 0.5000  6 Nb 2.71-2.83, 1 Tc 2.94, 2 Bi 3.01
7 Tc 0.6346 0.8654 0.5000  6 Nb 2.71-2.83, 1 Tc 2.94, 2 Bi 3.01
8 Tc 0.8654 0.3654 0.5000  6 Nb 2.71-2.83, 1 Tc 2.94, 2 Bi 3.01
9 Bi 0.0000 0.0000 0.5000  4 Tc 3.01, 2 Bi 3.15, 8 Nb 3.34
10 Bi 0.5000 0.5000 0.5000  4 Tc 3.01, 2 Bi 3.15, 8 Nb 3.34

***

Entry 12:
## ScRuN2F (GGA-PBE)

Data for ScRuN2F after structural relaxation.

## Properties
The calculation puts the uncorrected formation energy at 0.241 eV per atom. The value obtained for the energy above the most stable polymorph in this dataset is 0.5285 eV per atom. As for the space-group type: P4/mmm.

Cell lengths 4.1953, 4.1953, 3.8469 Å; angles 90.00, 90.00, 90.00 degrees
Last column: nearest neighbours and their distance in Å.
Fractional coordinates of all 5 atoms:
1 Sc 0.0000 0.0000 0.0000  2 F 1.92, 4 N 2.10
2 Ru 0.5000 0.5000 0.5000  8 N 2.85, 4 F 2.97
3 N 0.0000 0.5000 0.0000  2 Sc 2.10
4 N 0.5000 0.0000 0.0000  2 Sc 2.10
5 F 0.0000 0.0000 0.5000  2 Sc 1.92

***

no.,E (eV for the cell shown)
1,-24.23
2,-25.95
3,-54.02
4,-24.15
5,-48.17
6,-15.48
7,-15.47
8,-30.30
9,-26.74
10,-36.52
11,-87.08
12,-32.92